1.
# Sr2Al4Zn3Sn (PBE, relaxed)
data_Sr2Al4Zn3Sn
_chemical_formula_sum 'Sr2 Al4 Zn3 Sn1'
_space_group_name_H-M_alt 'P -4 m 2'
_space_group_IT_number 115
_space_group_name_Hall 'P -4 -2'
_cell_length_a 4.3946
_cell_length_b 4.3946
_cell_length_c 11.4242
_cell_angle_alpha 90.00
_cell_angle_beta 90.00
_cell_angle_gamma 90.00
loop_
_atom_site_label
_atom_site_type_symbol
_atom_site_fract_x
_atom_site_fract_y
_atom_site_fract_z
Sr1 Sr 0.0000 0.5000 0.2431
Al1 Al 0.0000 0.0000 0.0000
Al2 Al 0.0000 0.5000 0.6465
Al3 Al 0.5000 0.5000 0.0000
Zn1 Zn 0.0000 0.5000 0.8691
Zn2 Zn 0.5000 0.5000 0.5000
Sn1 Sn 0.0000 0.0000 0.5000
# Energy relative to the elements ... -0.26 eV/atom

---

2.
# TiNb6Re (PBE, relaxed)
data_TiNb6Re
_chemical_formula_sum 'Ti2 Nb12 Re2'
_space_group_name_H-M_alt 'C m m m'
_space_group_IT_number 65
_space_group_name_Hall '-C 2 2'
_cell_length_a 6.5703
_cell_length_b 9.1074
_cell_length_c 4.6846
_cell_angle_alpha 90.00
_cell_angle_beta 90.00
_cell_angle_gamma 90.00
loop_
_atom_site_label
_atom_site_type_symbol
_atom_site_fract_x
_atom_site_fract_y
_atom_site_fract_z
Ti1 Ti 0.0000 0.0000 0.0000
Nb1 Nb 0.0000 0.2443 0.5000
Nb2 Nb 0.2397 0.5000 0.5000
Nb3 Nb 0.2500 0.2500 0.0000
Re1 Re 0.0000 0.5000 0.0000
# Offset from the most stable computed form ... 0.000 eV/atom
# Energy relative to the elements ... -0.09 eV/atom

---

3.
# CaFeAgW2 (PBE, relaxed)
data_CaFeAgW2
_chemical_formula_sum 'Ca1 Fe1 Ag1 W2'
_space_group_name_H-M_alt 'P 4/m m m'
_space_group_IT_number 123
_space_group_name_Hall '-P 4 2'
_cell_length_a 4.7265
_cell_length_b 4.7265
_cell_length_c 4.3439
_cell_angle_alpha 90.00
_cell_angle_beta 90.00
_cell_angle_gamma 90.00
loop_
_atom_site_label
_atom_site_type_symbol
_atom_site_fract_x
_atom_site_fract_y
_atom_site_fract_z
Ca1 Ca 0.0000 0.0000 0.0000
Fe1 Fe 0.0000 0.0000 0.5000
Ag1 Ag 0.5000 0.5000 0.5000
W1 W 0.0000 0.5000 0.0000
# Energy relative to the elements ... 2.86 eV/atom

---

4.
# CsCaInO3 (PBE, relaxed)
data_CsCaInO3
_chemical_formula_sum 'Cs4 Ca4 In4 O12'
_space_group_name_H-M_alt 'C m c m'
_space_group_IT_number 63
_space_group_name_Hall '-C 2c 2'
_cell_length_a 6.1122
_cell_length_b 11.7474
_cell_length_c 6.0939
_cell_angle_alpha 90.00
_cell_angle_beta 90.00
_cell_angle_gamma 90.00
loop_
_atom_site_label
_atom_site_type_symbol
_atom_site_fract_x
_atom_site_fract_y
_atom_site_fract_z
Cs1 Cs 0.0000 0.2479 0.2500
Ca1 Ca 0.0000 0.0738 0.7500
In1 In 0.0000 0.4384 0.7500
O1 O 0.0000 0.2622 0.7500
O2 O 0.2377 0.5000 0.0000
# E_form (uncorrected) ... -1959 meV per atom

---

5.
# RbAc2NpS5 (PBE, relaxed)
data_RbAc2NpS5
_chemical_formula_sum 'Rb2 Ac4 Np2 S10'
_space_group_name_H-M_alt 'I m m m'
_space_group_IT_number 71
_space_group_name_Hall '-I 2 2'
_cell_length_a 5.1050
_cell_length_b 7.4962
_cell_length_c 14.6541
_cell_angle_alpha 90.00
_cell_angle_beta 90.00
_cell_angle_gamma 90.00
loop_
_atom_site_label
_atom_site_type_symbol
_atom_site_fract_x
_atom_site_fract_y
_atom_site_fract_z
Rb1 Rb 0.0000 0.0000 0.0000
Ac1 Ac 0.0000 0.5000 0.2069
Np1 Np 0.0000 0.0000 0.5000
S1 S 0.0000 0.2312 0.3518
S2 S 0.0000 0.5000 0.0000
# E_form (uncorrected) ... -1761 meV per atom

---

6.
# Rb3BaCr (PBE, relaxed)
data_Rb3BaCr
_chemical_formula_sum 'Rb3 Ba1 Cr1'
_space_group_name_H-M_alt 'P m -3 m'
_space_group_IT_number 221
_space_group_name_Hall '-P 4 2 3'
_cell_length_a 8.4182
_cell_length_b 8.4182
_cell_length_c 8.4182
_cell_angle_alpha 90.00
_cell_angle_beta 90.00
_cell_angle_gamma 90.00
loop_
_atom_site_label
_atom_site_type_symbol
_atom_site_fract_x
_atom_site_fract_y
_atom_site_fract_z
Rb1 Rb 0.0000 0.0000 0.5000
Ba1 Ba 0.0000 0.0000 0.0000
Cr1 Cr 0.5000 0.5000 0.5000
# Offset from the most stable computed form ... 0.461 eV/atom
# Energy relative to the elements ... 1.16 eV/atom

---

Calculated magnetization in order - 0.000; 0.000; 1.756; 0.000; 4.003; 3.332 μB per formula unit
Calculated E_tot in order - -28.8; -163.0; -24.9; -128.9; -117.2; -8.7 eV/cell